Entry 1:
Compound: Zr2PaRhN4
Source: the Alexandria database
Functional: PBE
Structure: optimized geometry

Unit cell a=3.281 b=5.830 c=11.317 alpha=90.00 beta=90.00 gamma=106.34
Positions (direct):
Zr 0.371 0.742 0.555
Zr 0.629 0.258 0.055
Zr 0.629 0.258 0.445
Zr 0.371 0.742 0.945
Pa 0.116 0.232 0.750
Pa 0.884 0.768 0.250
Rh 0.846 0.692 0.750
Rh 0.154 0.308 0.250
N 0.281 0.562 0.114
N 0.719 0.438 0.614
N 0.719 0.438 0.886
N 0.281 0.562 0.386
N 0.000 0.000 0.500
N 0.000 0.000 0.000
N 0.480 0.959 0.750
N 0.520 0.041 0.250

## Properties
crystal system	orthorhombic
DFT total energy	-9.639	eV per atom
raw formation energy	-1233	meV/atom
V	13.0	Å³/atom
SG	No. 63



Entry 2:
Compound: PaRuN
Source: the Alexandria database
Functional: PBE
Structure: optimized geometry

Unit cell a=4.156 b=4.156 c=7.207 alpha=73.24 beta=73.24 gamma=60.00
Positions (direct):
Pa 0.399 0.399 0.802
Pa 0.601 0.601 0.198
N 0.288 0.288 0.137
N 0.712 0.712 0.863
Ru 0.186 0.186 0.443
Ru 0.814 0.814 0.557

## Properties
crystal system	trigonal
ΔE to the lowest computed polymorph	0	meV per atom
DFT total energy	-9.831	eV per atom
raw formation energy	-799	meV/atom
V	16.9	Å³/atom
SG	No. 166



Entry 3:
Compound: PaRuN
Source: the Alexandria database
Functional: PBE
Structure: optimized geometry

Unit cell a=4.143 b=4.143 c=4.279 alpha=118.95 beta=118.95 gamma=90.00
Positions (direct):
Ru 0.932 0.932 0.864
Pa 0.296 0.296 0.592
N 0.622 0.622 0.244

## Properties
crystal system	tetragonal
ΔE to the lowest computed polymorph	577	meV per atom
DFT total energy	-9.254	eV per atom
raw formation energy	-222	meV/atom
V	17.8	Å³/atom
SG	No. 107



Entry 4:
Compound: Pa2RuN
Source: the Alexandria database
Functional: PBE
Structure: optimized geometry

Unit cell a=3.549 b=3.549 c=7.003 alpha=75.32 beta=75.32 gamma=60.00
Positions (direct):
Ru 0.000 0.000 0.000
Pa 0.763 0.763 0.712
Pa 0.237 0.237 0.288
N 0.500 0.500 0.500

## Properties
crystal system	trigonal
ΔE to the lowest computed polymorph	0	meV per atom
DFT total energy	-9.942	eV per atom
raw formation energy	-793	meV/atom
V	18.3	Å³/atom
SG	No. 166



Entry 5:
Compound: Pa2RuN4
Source: the Alexandria database
Functional: PBE
Structure: optimized geometry

Unit cell a=5.527 b=5.528 c=12.020 alpha=90.00 beta=90.00 gamma=90.00
Positions (direct):
Pa 0.000 0.999 0.852
Pa 0.500 0.501 0.148
Pa 0.000 0.499 0.648
Pa 0.500 0.001 0.352
Pa 0.000 0.001 0.148
Pa 0.500 0.499 0.852
Pa 0.000 0.501 0.352
Pa 0.500 0.999 0.648
Ru 0.000 0.000 0.500
Ru 0.500 0.500 0.500
Ru 0.000 0.500 0.000
Ru 0.500 0.000 0.000
N 0.750 0.750 0.500
N 0.250 0.750 0.500
N 0.250 0.250 0.000
N 0.750 0.250 0.000
N 0.250 0.250 0.500
N 0.750 0.250 0.500
N 0.750 0.750 0.000
N 0.250 0.750 0.000
N 0.250 0.249 0.750
N 0.750 0.251 0.250
N 0.750 0.749 0.750
N 0.250 0.751 0.250
N 0.750 0.751 0.250
N 0.250 0.749 0.750
N 0.250 0.251 0.250
N 0.750 0.249 0.750

## Properties
crystal system	tetragonal
DFT total energy	-10.033	eV per atom
raw formation energy	-1237	meV/atom
V	13.1	Å³/atom
SG	No. 139



Entry 6:
Compound: PaRuN
Source: the Alexandria database
Functional: PBE
Structure: optimized geometry

Unit cell a=3.497 b=3.840 c=3.840 alpha=120.00 beta=90.00 gamma=90.00
Positions (direct):
Ru 0.772 0.333 0.667
Pa 0.287 0.667 0.333
N 0.940 0.000 0.000

## Properties
crystal system	trigonal
ΔE to the lowest computed polymorph	338	meV per atom
DFT total energy	-9.493	eV per atom
raw formation energy	-461	meV/atom
V	14.9	Å³/atom
SG	No. 156



Entry 7:
Compound: Pa2RuN
Source: the Alexandria database
Functional: PBE
Structure: optimized geometry

Unit cell a=3.035 b=3.035 c=7.134 alpha=90.00 beta=90.00 gamma=90.00
Positions (direct):
Ru 0.500 0.500 0.000
Pa 0.000 0.000 0.717
Pa 0.000 0.000 0.283
N 0.500 0.500 0.500

## Properties
crystal system	tetragonal
ΔE to the lowest computed polymorph	261	meV per atom
DFT total energy	-9.681	eV per atom
raw formation energy	-533	meV/atom
V	16.4	Å³/atom
SG	No. 123



Entry 8:
Compound: Pa3RuN6
Source: the Alexandria database
Functional: PBE
Structure: optimized geometry

Unit cell a=5.457 b=7.188 c=7.188 alpha=100.43 beta=90.00 gamma=90.00
Positions (direct):
Pa 0.517 0.912 0.676
Pa 0.017 0.676 0.912
Pa 0.470 0.389 0.611
Pa 0.970 0.611 0.389
Pa 0.017 0.088 0.324
Pa 0.517 0.324 0.088
Ru 0.031 0.126 0.874
Ru 0.531 0.874 0.126
N 0.244 0.666 0.644
N 0.744 0.644 0.666
N 0.223 0.400 0.896
N 0.723 0.896 0.400
N 0.821 0.987 0.013
N 0.696 0.222 0.778
N 0.196 0.778 0.222
N 0.321 0.013 0.987
N 0.223 0.104 0.600
N 0.723 0.600 0.104
N 0.244 0.356 0.334
N 0.744 0.334 0.356

## Properties
crystal system	orthorhombic
DFT total energy	-10.012	eV per atom
raw formation energy	-1240	meV/atom
V	13.9	Å³/atom
SG	No. 36



Entry 9:
Compound: Sc2PaRuN4
Source: the Alexandria database
Functional: PBE
Structure: optimized geometry

Unit cell a=3.273 b=5.873 c=10.881 alpha=90.00 beta=90.00 gamma=106.18
Positions (direct):
Sc 0.373 0.747 0.548
Sc 0.627 0.253 0.048
Sc 0.627 0.253 0.452
Sc 0.373 0.747 0.952
Pa 0.115 0.231 0.750
Pa 0.885 0.769 0.250
Ru 0.857 0.713 0.750
Ru 0.143 0.287 0.250
N 0.280 0.560 0.126
N 0.720 0.440 0.626
N 0.720 0.440 0.874
N 0.280 0.560 0.374
N 0.000 0.000 0.500
N 0.000 0.000 0.000
N 0.465 0.929 0.750
N 0.535 0.071 0.250

## Properties
crystal system	orthorhombic
DFT total energy	-9.284	eV per atom
raw formation energy	-1192	meV/atom
V	12.6	Å³/atom
SG	No. 63



Entry 10:
Compound: Pa3Si2Ru5N2
Source: the Alexandria database
Functional: PBE
Structure: optimized geometry

Unit cell a=4.092 b=4.092 c=11.791 alpha=99.99 beta=99.99 gamma=90.00
Positions (direct):
Pa 0.187 0.187 0.373
Pa 0.813 0.813 0.627
Pa 0.000 0.000 0.000
Si 0.358 0.358 0.717
Si 0.642 0.642 0.283
Ru 0.590 0.090 0.180
Ru 0.410 0.910 0.820
Ru 0.090 0.590 0.180
Ru 0.910 0.410 0.820
Ru 0.500 0.500 0.000
N 0.720 0.720 0.439
N 0.280 0.280 0.561

## Properties
crystal system	tetragonal
DFT total energy	-9.344	eV per atom
raw formation energy	-813	meV/atom
V	16.0	Å³/atom
SG	No. 139



Entry 11:
Compound: PaSiRuN
Source: the Alexandria database
Functional: PBE
Structure: optimized geometry

Unit cell a=4.097 b=4.097 c=7.529 alpha=90.00 beta=90.00 gamma=90.00
Positions (direct):
Pa 0.000 0.500 0.854
Pa 0.500 0.000 0.146
Si 0.500 0.000 0.652
Si 0.000 0.500 0.348
Ru 0.000 0.000 0.500
Ru 0.500 0.500 0.500
N 0.500 0.500 0.000
N 0.000 0.000 0.000

## Properties
crystal system	tetragonal
DFT total energy	-9.276	eV per atom
raw formation energy	-1146	meV/atom
V	15.8	Å³/atom
SG	No. 129



Entry 12:
Compound: Sm2PaRuN4
Source: the Alexandria database
Functional: PBE
Structure: optimized geometry

Unit cell a=3.395 b=6.079 c=11.879 alpha=90.00 beta=90.00 gamma=106.21
Positions (direct):
Sm 0.370 0.740 0.553
Sm 0.630 0.260 0.053
Sm 0.630 0.260 0.447
Sm 0.370 0.740 0.947
Pa 0.114 0.228 0.750
Pa 0.886 0.772 0.250
Ru 0.854 0.708 0.750
Ru 0.146 0.292 0.250
N 0.287 0.573 0.140
N 0.713 0.427 0.640
N 0.713 0.427 0.860
N 0.287 0.573 0.360
N 0.000 0.000 0.500
N 0.000 0.000 0.000
N 0.464 0.927 0.750
N 0.536 0.073 0.250

## Properties
crystal system	orthorhombic
DFT total energy	-8.714	eV per atom
raw formation energy	-1025	meV/atom
V	14.7	Å³/atom
SG	No. 63



Values for spin magnetization, μB per cell, ordered as above
0.00 0.00 0.00 0.00 0.00 0.00 0.00 0.00 0.00 0.00 0.00 0.00